[1]
{
  "formula": "Dy5Tm2Fe2Te2",
  "functional": "PBE",
  "state": "relaxed",
  "spacegroup": "Imm2 (44)",
  "e_tot_ev_per_atom": -5.4800,
  "lattice_angstrom": [[-1.9329, 7.8161, 4.6620], [1.9329, -7.8161, 4.6620], [1.9329, 7.8161, -4.6620]],
  "species": ["Dy", "Dy", "Dy", "Dy", "Dy", "Tm", "Tm", "Fe", "Fe", "Te", "Te"],
  "frac_coords": [[0.0000, 0.0000, 0.0000], [0.0841, 0.7350, 0.3492], [0.3858, 0.7350, 0.6508], [0.4470, 0.5828, 0.8643], [0.7185, 0.5828, 0.1357], [0.0616, 0.3757, 0.6859], [0.6899, 0.3757, 0.3141], [0.3037, 0.0668, 0.2369], [0.8300, 0.0668, 0.7631], [0.3349, 0.3349, 0.0000], [0.7348, 0.2348, 0.5000]]
}

=====

[2]
{
  "formula": "DyY2Tm4Fe2Te2",
  "functional": "PBE",
  "state": "relaxed",
  "spacegroup": "Imm2 (44)",
  "e_tot_ev_per_atom": -5.8002,
  "lattice_angstrom": [[-1.9398, 7.8430, 4.6038], [1.9398, -7.8430, 4.6038], [1.9398, 7.8430, -4.6038]],
  "species": ["Dy", "Y", "Y", "Tm", "Tm", "Tm", "Tm", "Fe", "Fe", "Te", "Te"],
  "frac_coords": [[0.0000, 0.0000, 0.0000], [0.6087, 0.2596, 0.3491], [0.9106, 0.2596, 0.6509], [0.2780, 0.4148, 0.8632], [0.3085, 0.6230, 0.6855], [0.5516, 0.4148, 0.1368], [0.9375, 0.6230, 0.3145], [0.1728, 0.9341, 0.2386], [0.6955, 0.9341, 0.7614], [0.2677, 0.7677, 0.5000], [0.6603, 0.6603, 0.0000]]
}

=====

Which formula does entry 1 have?
Dy5Tm2Fe2Te2